Record 1
# SmTmSb2 (GGA-PBE, optimized geometry)
data_SmTmSb2
_cell_length_a 4.3903
_cell_length_b 4.3903
_cell_length_c 14.5107
_cell_angle_alpha 90.00
_cell_angle_beta 90.00
_cell_angle_gamma 120.00
_space_group_name_H-M_alt 'P 63/m m c'
_space_group_IT_number 194
_space_group_name_Hall '-P 6c 2c'
loop_
_atom_site_label
_atom_site_type_symbol
_atom_site_fract_x
_atom_site_fract_y
_atom_site_fract_z
Sm1 Sm 0.3333 0.6667 0.2500
Tm1 Tm 0.0000 0.0000 0.0000
Sb1 Sb 0.3333 0.6667 0.6185
# energy above the lowest structure with this stoichiometry: 59 meV/atom
# M_tot: 0.000 μB/atom
# uncorrected formation energy: -24.45 kcal/mol of atoms



Record 2
# BiBIr2Pt (GGA-PBE, optimized geometry)
data_BiBIr2Pt
_cell_length_a 5.038
_cell_length_b 5.038
_cell_length_c 3.933
_cell_angle_alpha 90.00
_cell_angle_beta 90.00
_cell_angle_gamma 90.00
_space_group_name_H-M_alt 'P 4/m m m'
_space_group_IT_number 123
_space_group_name_Hall '-P 4 2'
loop_
_atom_site_label
_atom_site_type_symbol
_atom_site_fract_x
_atom_site_fract_y
_atom_site_fract_z
Bi1 Bi 0.000 0.000 0.000
B1 B 0.500 0.500 0.000
Ir1 Ir 0.000 0.500 0.500
Pt1 Pt 0.500 0.500 0.500
# M_tot: 0.418 μB/atom
# energy of formation: 1190 meV/atom



Record 3
# DyAgPd5 (GGA-PBE, optimized geometry)
data_DyAgPd5
_cell_length_a 5.135
_cell_length_b 5.383
_cell_length_c 9.435
_cell_angle_alpha 90.00
_cell_angle_beta 90.00
_cell_angle_gamma 90.00
_space_group_name_H-M_alt 'I m m 2'
_space_group_IT_number 44
loop_
_space_group_symop_operation_xyz
'x,y,z'
'-x,-y,z'
'-x,y,z'
'x,-y,z'
'x+1/2,y+1/2,z+1/2'
'-x+1/2,-y+1/2,z+1/2'
'-x+1/2,y+1/2,z+1/2'
'x+1/2,-y+1/2,z+1/2'
loop_
_atom_site_label
_atom_site_type_symbol
_atom_site_fract_x
_atom_site_fract_y
_atom_site_fract_z
Dy1 Dy 0.000 0.000 0.000
Ag1 Ag 0.000 0.500 0.714
Pd1 Pd 0.000 0.000 0.728
Pd2 Pd 0.000 0.256 0.257
Pd3 Pd 0.249 0.500 0.983
# M_tot: 0.000 μB/atom
# energy of formation: -276 meV/atom



Record 4
# YZr4In5 (GGA-PBE, optimized geometry)
data_YZr4In5
_cell_length_a 3.823
_cell_length_b 3.823
_cell_length_c 15.920
_cell_angle_alpha 90.00
_cell_angle_beta 90.00
_cell_angle_gamma 90.00
_space_group_name_H-M_alt 'P 4/m m m'
_space_group_IT_number 123
_space_group_name_Hall '-P 4 2'
loop_
_atom_site_label
_atom_site_type_symbol
_atom_site_fract_x
_atom_site_fract_y
_atom_site_fract_z
Y1 Y 0.000 0.000 0.000
Zr1 Zr 0.000 0.000 0.213
Zr2 Zr 0.000 0.000 0.403
In1 In 0.500 0.500 0.113
In2 In 0.500 0.500 0.307
In3 In 0.500 0.500 0.500
# M_tot: 0.000 μB/atom
# energy of formation: -259 meV/atom



Record 5
# Mn2NiCl (GGA-PBE, optimized geometry)
data_Mn2NiCl
_cell_length_a 3.200
_cell_length_b 3.200
_cell_length_c 6.656
_cell_angle_alpha 90.00
_cell_angle_beta 90.00
_cell_angle_gamma 90.00
_space_group_name_H-M_alt 'P 4 m m'
_space_group_IT_number 99
loop_
_space_group_symop_operation_xyz
'x,y,z'
'-y,x,z'
'-x,-y,z'
'y,-x,z'
'-x,y,z'
'y,x,z'
'x,-y,z'
'-y,-x,z'
loop_
_atom_site_label
_atom_site_type_symbol
_atom_site_fract_x
_atom_site_fract_y
_atom_site_fract_z
Mn1 Mn 0.000 0.000 0.000
Mn2 Mn 0.500 0.500 0.238
Ni1 Ni 0.000 0.000 0.382
Cl1 Cl 0.500 0.500 0.808
# energy above the lowest structure with this stoichiometry: 245 meV/atom
# M_tot: 2.155 μB/atom
# uncorrected formation energy: 5.03 kcal/mol of atoms



Record 6
# CaAc2Al (GGA-PBE, optimized geometry)
data_CaAc2Al
_cell_length_a 8.252
_cell_length_b 8.252
_cell_length_c 8.252
_cell_angle_alpha 90.00
_cell_angle_beta 90.00
_cell_angle_gamma 90.00
_space_group_name_H-M_alt 'F m -3 m'
_space_group_IT_number 225
_space_group_name_Hall '-F 4 2 3'
loop_
_atom_site_label
_atom_site_type_symbol
_atom_site_fract_x
_atom_site_fract_y
_atom_site_fract_z
Ca1 Ca 0.000 0.000 0.000
Ac1 Ac 0.250 0.250 0.250
Al1 Al 0.000 0.000 0.500
# energy above the lowest structure with this stoichiometry: 62 meV/atom
# M_tot: 0.000 μB/atom
# energy of formation: -23 meV/atom



Record 7
# TbLuScOs (GGA-PBE, optimized geometry)
data_TbLuScOs
_cell_length_a 7.052
_cell_length_b 7.052
_cell_length_c 7.052
_cell_angle_alpha 90.00
_cell_angle_beta 90.00
_cell_angle_gamma 90.00
_space_group_name_H-M_alt 'F -4 3 m'
_space_group_IT_number 216
_space_group_name_Hall 'F -4 2 3'
loop_
_atom_site_label
_atom_site_type_symbol
_atom_site_fract_x
_atom_site_fract_y
_atom_site_fract_z
Tb1 Tb 0.000 0.000 0.000
Lu1 Lu 0.000 0.000 0.500
Sc1 Sc 0.250 0.250 0.750
Os1 Os 0.250 0.250 0.250
# M_tot: 0.000 μB/atom
# energy of formation: -29 meV/atom



Record 8
# Sm6HoTl (GGA-PBE, optimized geometry)
data_Sm6HoTl
_cell_length_a 4.972
_cell_length_b 4.972
_cell_length_c 10.246
_cell_angle_alpha 90.00
_cell_angle_beta 90.00
_cell_angle_gamma 90.00
_space_group_name_H-M_alt 'P 4/m m m'
_space_group_IT_number 123
_space_group_name_Hall '-P 4 2'
loop_
_atom_site_label
_atom_site_type_symbol
_atom_site_fract_x
_atom_site_fract_y
_atom_site_fract_z
Sm1 Sm 0.000 0.000 0.000
Sm2 Sm 0.000 0.000 0.500
Sm3 Sm 0.000 0.500 0.245
Ho1 Ho 0.500 0.500 0.500
Tl1 Tl 0.500 0.500 0.000
# M_tot: 0.000 μB/atom
# energy of formation: -82 meV/atom



Record 9
# AcPm6Pr4 (GGA-PBE, optimized geometry)
data_AcPm6Pr4
_cell_length_a 8.013
_cell_length_b 8.013
_cell_length_c 13.167
_cell_angle_alpha 90.00
_cell_angle_beta 90.00
_cell_angle_gamma 90.00
_space_group_name_H-M_alt 'I -4 2 m'
_space_group_IT_number 121
_space_group_name_Hall 'I -4 2'
loop_
_atom_site_label
_atom_site_type_symbol
_atom_site_fract_x
_atom_site_fract_y
_atom_site_fract_z
Ac1 Ac 0.000 0.000 0.000
Pm1 Pm 0.000 0.500 0.000
Pm2 Pm 0.244 0.244 0.692
Pr1 Pr 0.171 0.171 0.425
# energy above the lowest structure with this stoichiometry: 66 meV/atom
# M_tot: 0.000 μB/atom
# energy of formation: 366 meV/atom



Record 10
# TaNiW2 (GGA-PBE, optimized geometry)
data_TaNiW2
_cell_length_a 4.274
_cell_length_b 4.274
_cell_length_c 3.376
_cell_angle_alpha 90.00
_cell_angle_beta 90.00
_cell_angle_gamma 90.00
_space_group_name_H-M_alt 'P 4/m m m'
_space_group_IT_number 123
_space_group_name_Hall '-P 4 2'
loop_
_atom_site_label
_atom_site_type_symbol
_atom_site_fract_x
_atom_site_fract_y
_atom_site_fract_z
Ta1 Ta 0.000 0.000 0.000
Ni1 Ni 0.500 0.500 0.000
W1 W 0.000 0.500 0.500
# energy above the lowest structure with this stoichiometry: 186 meV/atom
# M_tot: 0.000 μB/atom
# energy of formation: 172 meV/atom



Record 11
# Y2ThTl4 (GGA-PBE, optimized geometry)
data_Y2ThTl4
_cell_length_a 5.238
_cell_length_b 5.238
_cell_length_c 7.789
_cell_angle_alpha 90.00
_cell_angle_beta 90.00
_cell_angle_gamma 90.00
_space_group_name_H-M_alt 'P 4/m m m'
_space_group_IT_number 123
_space_group_name_Hall '-P 4 2'
loop_
_atom_site_label
_atom_site_type_symbol
_atom_site_fract_x
_atom_site_fract_y
_atom_site_fract_z
Y1 Y 0.000 0.000 0.000
Y2 Y 0.500 0.500 0.500
Th1 Th 0.000 0.000 0.500
Tl1 Tl 0.000 0.500 0.227
# M_tot: 0.000 μB/atom
# energy of formation: -150 meV/atom



Record 12
# LiAcTl2In (GGA-PBE, optimized geometry)
data_LiAcTl2In
_cell_length_a 6.172
_cell_length_b 6.768
_cell_length_c 6.745
_cell_angle_alpha 90.00
_cell_angle_beta 90.00
_cell_angle_gamma 90.00
_space_group_name_H-M_alt 'P m m a'
_space_group_IT_number 51
loop_
_space_group_symop_operation_xyz
'x,y,z'
'-x,-y,-z'
'-x+1/2,-y,z'
'x+1/2,y,-z'
'x+1/2,-y,-z'
'-x+1/2,y,z'
'-x,y,-z'
'x,-y,z'
loop_
_atom_site_label
_atom_site_type_symbol
_atom_site_fract_x
_atom_site_fract_y
_atom_site_fract_z
Li1 Li 0.000 0.000 0.000
Ac1 Ac 0.250 0.500 0.226
Tl1 Tl 0.250 0.255 0.734
In1 In 0.250 0.000 0.358
# M_tot: 0.000 μB/atom
# energy of formation: -245 meV/atom